No. 1
! Y2MnSb (PBE, optimized geometry); values from VASP
&SYSTEM
  ibrav = 0, nat = 4, ntyp = 3
/
ATOMIC_SPECIES
Y 88.91 Y.upf
Sb 121.76 Sb.upf
Mn 54.94 Mn.upf
ATOMIC_POSITIONS crystal
Y 0.500 0.500 0.500
Y 0.000 0.000 0.000
Sb 0.750 0.750 0.750
Mn 0.250 0.250 0.250
CELL_PARAMETERS angstrom
7.895 -0.552 -0.327
7.088 3.521 -0.327
7.088 1.404 3.245
! Formation energy without anion corrections ... -0.51 eV per formula unit
! Space group ... R-3m (166)
! Energy ... -26.734 eV per cell
! Magnetic moment ... 3.9 μB/f.u.
! Theoretical density ... 5.22 g cm⁻³

***

No. 2
! TaSb2W (PBE, optimized geometry); values from VASP
&SYSTEM
  ibrav = 0, nat = 4, ntyp = 3
/
ATOMIC_SPECIES
Ta 180.95 Ta.upf
Sb 121.76 Sb.upf
W 183.84 W.upf
ATOMIC_POSITIONS crystal
Ta 0.000 0.459 0.551
Sb 0.500 0.417 0.270
Sb 0.000 0.833 0.983
W 0.500 0.792 0.696
CELL_PARAMETERS angstrom
-4.835 0.180 -0.997
-0.224 -3.427 0.466
-1.047 -0.441 5.000
! Formation energy without anion corrections ... 1.73 eV per formula unit
! Space group ... Pm (6)
! Energy ... -31.321 eV per cell
! Magnetic moment ... 0.0 μB/f.u.
! Theoretical density ... 11.82 g cm⁻³
! Distance to the lowest polymorph of the same formula ... 0.314 eV per atom

***

No. 3
! LaScAgTe2 (PBE, optimized geometry); values from VASP
&SYSTEM
  ibrav = 0, nat = 5, ntyp = 4
/
ATOMIC_SPECIES
Te 127.60 Te.upf
Ag 107.87 Ag.upf
La 138.91 La.upf
Sc 44.96 Sc.upf
ATOMIC_POSITIONS crystal
Te 0.500 0.000 0.000
Te 0.000 0.000 0.500
Ag 0.500 0.500 0.500
La 0.000 0.000 0.000
Sc 0.000 0.500 0.000
CELL_PARAMETERS angstrom
-2.994 2.309 4.728
3.340 -2.989 3.575
3.904 4.621 0.215
! Formation energy without anion corrections ... 2.36 eV per formula unit
! Space group ... P4/mmm (123)
! Energy ... -18.034 eV per cell
! Magnetic moment ... 0.0 μB/f.u.
! Theoretical density ... 4.32 g cm⁻³

***

No. 4
! Te4Au2Cl (PBE, optimized geometry); values from VASP
&SYSTEM
  ibrav = 0, nat = 14, ntyp = 3
/
ATOMIC_SPECIES
Te 127.60 Te.upf
Cl 35.45 Cl.upf
Au 196.97 Au.upf
ATOMIC_POSITIONS crystal
Te 0.394 0.509 0.640
Te 0.009 0.624 0.861
Te 0.376 0.991 0.139
Te 0.761 0.145 0.143
Te 0.242 0.127 0.642
Te 0.872 0.757 0.357
Te 0.855 0.239 0.857
Te 0.490 0.606 0.360
Cl 0.001 0.001 0.000
Cl 0.250 0.750 0.500
Au 0.126 0.375 0.751
Au 0.626 0.376 0.251
Au 0.624 0.874 0.249
Au 0.624 0.374 0.748
CELL_PARAMETERS angstrom
9.547 -0.524 -0.228
-1.211 9.481 0.349
-4.029 -4.577 4.203
! Formation energy without anion corrections ... -0.35 eV per formula unit
! Space group ... P1 (1)
! Energy ... -42.643 eV per cell
! Magnetic moment ... 0.0 μB/f.u.
! Theoretical density ... 8.13 g cm⁻³

***

No. 5
! Ac7La4Pm (PBE, optimized geometry); values from VASP
&SYSTEM
  ibrav = 0, nat = 12, ntyp = 3
/
ATOMIC_SPECIES
Ac 227.00 Ac.upf
La 138.91 La.upf
Pm 145.00 Pm.upf
ATOMIC_POSITIONS crystal
Ac 0.001 0.057 0.668
Ac 0.999 0.943 0.332
Ac 0.253 0.572 0.492
Ac 0.785 0.530 0.849
Ac 0.747 0.428 0.508
Ac 0.500 0.000 0.000
Ac 0.215 0.470 0.151
La 0.494 0.900 0.669
La 0.702 0.592 0.192
La 0.506 0.100 0.331
La 0.298 0.408 0.808
Pm 0.000 0.000 0.000
CELL_PARAMETERS angstrom
-6.885 -1.742 2.100
1.988 -0.556 6.262
-6.028 8.813 3.389
! Formation enthalpy at 0 K ... 0.07 eV per atom
! Space group ... P-1 (2)
! Energy ... -52.350 eV per cell
! Magnetic moment ... 0.0 μB/f.u.
! Theoretical density ... 7.60 g cm⁻³

***

No. 6
! HoEr2TmRh4 (PBE, optimized geometry); values from VASP
&SYSTEM
  ibrav = 0, nat = 8, ntyp = 4
/
ATOMIC_SPECIES
Ho 164.93 Ho.upf
Rh 102.91 Rh.upf
Er 167.26 Er.upf
Tm 168.93 Tm.upf
ATOMIC_POSITIONS crystal
Ho 0.000 0.000 0.000
Rh 0.125 0.125 0.624
Rh 0.375 0.375 0.874
Rh 0.875 0.875 0.376
Rh 0.625 0.625 0.126
Er 0.250 0.250 0.251
Er 0.750 0.750 0.749
Tm 0.500 0.500 0.500
CELL_PARAMETERS angstrom
-3.828 -2.827 0.620
-0.719 -3.740 -2.919
2.641 -6.758 4.064
! Formation enthalpy at 0 K ... -0.94 eV per atom
! Space group ... R-3m (166)
! Energy ... -55.131 eV per cell
! Magnetic moment ... 0.0 μB/f.u.
! Theoretical density ... 11.47 g cm⁻³